1.
A relaxed structure of BaGa5Cu3. Source: the Alexandria database, functional PBE-GGA.

```
data_BaGa5Cu3
_cell_length_a 4.152
_cell_length_b 6.653
_cell_length_c 12.975
_cell_angle_alpha 90.00
_cell_angle_beta 90.00
_cell_angle_gamma 108.18
_symmetry_space_group_name_H-M 'P 1'
_symmetry_Int_Tables_number 1
_symmetry_space_group_name_Hall 'P 1'
loop_
_atom_site_label
_atom_site_fract_x
_atom_site_fract_y
_atom_site_fract_z
Cu1 0.117 0.234 0.750
Cu2 0.389 0.777 0.966
Cu3 0.389 0.777 0.534
Cu4 0.883 0.766 0.250
Cu5 0.611 0.223 0.466
Cu6 0.611 0.223 0.034
Ga1 0.000 0.000 0.000
Ga2 0.198 0.396 0.930
Ga3 0.802 0.604 0.430
Ga4 0.550 0.100 0.848
Ga5 0.550 0.100 0.652
Ga6 0.450 0.900 0.152
Ga7 0.000 0.000 0.500
Ga8 0.450 0.900 0.348
Ga9 0.198 0.396 0.570
Ga10 0.802 0.604 0.070
Ba1 0.166 0.331 0.250
Ba2 0.834 0.669 0.750
```

Calculated values
As for the space group: Cmcm, No. 63.

---

2.
A relaxed structure of DyAsPt. Source: the Alexandria database, functional PBE-GGA.

```
data_DyAsPt
_cell_length_a 4.294
_cell_length_b 4.294
_cell_length_c 15.342
_cell_angle_alpha 90.00
_cell_angle_beta 90.00
_cell_angle_gamma 120.00
_symmetry_space_group_name_H-M 'P 1'
_symmetry_Int_Tables_number 1
_symmetry_space_group_name_Hall 'P 1'
loop_
_atom_site_label
_atom_site_fract_x
_atom_site_fract_y
_atom_site_fract_z
As1 0.333 0.667 0.885
As2 0.333 0.667 0.615
As3 0.667 0.333 0.115
As4 0.667 0.333 0.385
Pt1 0.667 0.333 0.636
Pt2 0.333 0.667 0.364
Pt3 0.333 0.667 0.136
Pt4 0.667 0.333 0.864
Dy1 0.000 0.000 0.000
Dy2 0.000 0.000 0.750
Dy3 0.000 0.000 0.500
Dy4 0.000 0.000 0.250
```

Calculated values
As for the space group: P6_3/mmc, No. 194.

---

no.,size of the total moment (μB/f.u.),calculated formation energy (kcal/mol of atoms)
1,0.00,-5.290
2,0.00,-28.481